VASP calculation (meta-GGA SCAN) on a PBEsol-optimized structure of Cu2TeCl.

Unit cell a=3.548 b=3.548 c=7.139 alpha=104.39 beta=104.39 gamma=90.00
Sites, in units of the cell vectors:
Te1 0.500 0.500 0.000
Cu1 0.000 0.000 0.000
Cu2 0.750 0.250 0.500
Cl1 0.250 0.750 0.500

Formation energy (no corrections) = 0.087 eV/atom
ΔE to the lowest computed polymorph = 363 meV/atom

***

VASP calculation (meta-GGA SCAN) on a PBEsol-optimized structure of LiMg3.

Unit cell a=3.209 b=5.235 c=5.235 alpha=104.39 beta=90.00 gamma=90.00
Sites, in units of the cell vectors:
Mg1 0.000 0.500 0.500
Mg2 0.500 0.500 0.000
Mg3 0.500 0.000 0.500
Li1 0.000 0.000 0.000

DFT formation energy = -1.6 kJ/mol of atoms

***

VASP calculation (meta-GGA SCAN) on a PBEsol-optimized structure of BaSi2Ru.

Unit cell a=3.006 b=3.405 c=7.339 alpha=90.00 beta=90.00 gamma=90.00
Sites, in units of the cell vectors:
Ru1 0.500 0.500 0.500
Ba1 0.500 0.500 0.000
Si1 0.000 0.000 0.669
Si2 0.000 0.000 0.331

Formation energy (no corrections) = -0.129 eV/atom

***

VASP calculation (meta-GGA SCAN) on a PBEsol-optimized structure of ZrPHO2.

Unit cell a=3.026 b=3.933 c=3.933 alpha=90.00 beta=90.00 gamma=90.00
Sites, in units of the cell vectors:
Zr1 0.500 0.500 0.500
O1 0.000 0.500 0.000
O2 0.000 0.000 0.500
P1 0.500 0.000 0.000
H1 0.000 0.000 0.000

Total DFT energy (no corrections) = -59.99 eV per formula unit

***

VASP calculation (meta-GGA SCAN) on a PBEsol-optimized structure of Pr6S3O2F8.

Unit cell a=3.862 b=13.506 c=13.604 alpha=119.75 beta=90.00 gamma=90.00
Sites, in units of the cell vectors:
Pr1 0.500 0.526 0.395
Pr2 0.000 0.476 0.603
Pr3 0.500 0.944 0.228
Pr4 0.500 0.282 0.056
Pr5 0.000 0.053 0.761
Pr6 0.000 0.143 0.535
Pr7 0.000 0.708 0.946
Pr8 0.500 0.764 0.712
Pr9 0.000 0.397 0.860
Pr10 0.000 0.236 0.292
Pr11 0.500 0.611 0.139
Pr12 0.500 0.862 0.476
S1 0.500 0.527 0.809
S2 0.000 0.723 0.530
S3 0.500 0.273 0.472
S4 0.500 0.199 0.722
S5 0.000 0.812 0.282
S6 0.000 0.466 0.185
O1 0.000 0.431 0.411
O2 0.000 0.583 0.021
O3 0.500 0.568 0.587
O4 0.000 0.984 0.564
F1 0.500 0.106 0.204
F2 0.000 0.680 0.754
F3 0.000 0.068 0.324
F4 0.000 0.253 0.929
F5 0.000 0.338 0.667
F6 0.500 0.022 0.434
F7 0.500 0.794 0.904
F8 0.000 0.904 0.106
F9 0.500 0.410 0.977
F10 0.500 0.666 0.333
F11 0.500 0.098 0.890
F12 0.000 0.199 0.096
F13 0.000 0.894 0.795
F14 0.500 0.317 0.246
F15 0.500 0.930 0.680
F16 0.500 0.753 0.073

Formation energy (no corrections) = -3.813 eV/atom

***

VASP calculation (meta-GGA SCAN) on a PBEsol-optimized structure of LaBeRe2.

Unit cell a=2.643 b=4.848 c=5.758 alpha=114.90 beta=103.27 gamma=90.00
Sites, in units of the cell vectors:
Re1 0.792 0.792 0.584
Re2 0.208 0.208 0.416
La1 0.000 0.500 0.000
Be1 0.500 0.000 0.000

DFT formation energy = 51.8 kJ/mol of atoms